(1)
Below is a relaxed structure of KPdAuSe2S, with properties calculated at the GGA-PBE level.

Cell lengths 7.4910, 7.4910, 10.6144 Å; angles 90.00, 90.00, 149.56 degrees
Positions (direct):
K (0.2232, 0.7768, 0.7500)
K (0.7768, 0.2232, 0.2500)
Pd (0.5000, 0.5000, 0.0000)
Pd (0.5000, 0.5000, 0.5000)
Au (0.0847, 0.9153, 0.2500)
Au (0.9153, 0.0847, 0.7500)
Se (0.1121, 0.8879, 0.0198)
Se (0.1121, 0.8879, 0.4802)
Se (0.8879, 0.1121, 0.5198)
Se (0.8879, 0.1121, 0.9802)
S (0.4639, 0.5361, 0.2500)
S (0.5361, 0.4639, 0.7500)

As for the symmetry: Cmcm. Its calculated volume is 25.1 A^3/atom. The total DFT energy (no corrections) comes out at -44.9 eV for the cell shown.

=====

(2)
Below is a relaxed structure of KTePdAuS2, with properties calculated at the GGA-PBE level.

Cell lengths 8.5513, 8.5513, 10.6065 Å; angles 90.00, 90.00, 155.71 degrees
Positions (direct):
K (0.2352, 0.7648, 0.7500)
K (0.7648, 0.2352, 0.2500)
Te (0.4412, 0.5588, 0.2500)
Te (0.5588, 0.4412, 0.7500)
Pd (0.5000, 0.5000, 0.0000)
Pd (0.5000, 0.5000, 0.5000)
Au (0.1028, 0.8972, 0.2500)
Au (0.8972, 0.1028, 0.7500)
S (0.0968, 0.9032, 0.0296)
S (0.0968, 0.9032, 0.4704)
S (0.9032, 0.0968, 0.5296)
S (0.9032, 0.0968, 0.9704)

As for the symmetry: Cmcm. Its calculated volume is 26.6 A^3/atom. The total DFT energy (no corrections) comes out at -46.0 eV for the cell shown.

=====

(3)
Below is a relaxed structure of KPdAuSe3, with properties calculated at the GGA-PBE level.

Cell lengths 8.0258, 8.0258, 10.6242 Å; angles 90.00, 90.00, 152.37 degrees
Positions (direct):
K (0.2248, 0.7752, 0.7500)
K (0.7752, 0.2248, 0.2500)
Pd (0.5000, 0.5000, 0.0000)
Pd (0.5000, 0.5000, 0.5000)
Au (0.1000, 0.9000, 0.2500)
Au (0.9000, 0.1000, 0.7500)
Se (0.1064, 0.8936, 0.0190)
Se (0.1064, 0.8936, 0.4810)
Se (0.4561, 0.5439, 0.2500)
Se (0.5439, 0.4561, 0.7500)
Se (0.8936, 0.1064, 0.5190)
Se (0.8936, 0.1064, 0.9810)

As for the symmetry: Cmcm. Its calculated volume is 26.5 A^3/atom. The total DFT energy (no corrections) comes out at -44.3 eV for the cell shown.

=====

(4)
Below is a relaxed structure of KTePdAuSe2, with properties calculated at the GGA-PBE level.

Cell lengths 8.4767, 8.4767, 10.7860 Å; angles 90.00, 90.00, 154.31 degrees
Positions (direct):
K (0.2317, 0.7683, 0.7500)
K (0.7683, 0.2317, 0.2500)
Te (0.4485, 0.5515, 0.2500)
Te (0.5515, 0.4485, 0.7500)
Pd (0.5000, 0.5000, 0.0000)
Pd (0.5000, 0.5000, 0.5000)
Au (0.1059, 0.8941, 0.2500)
Au (0.8941, 0.1059, 0.7500)
Se (0.1039, 0.8961, 0.0216)
Se (0.1039, 0.8961, 0.4784)
Se (0.8961, 0.1039, 0.5216)
Se (0.8961, 0.1039, 0.9784)

As for the symmetry: Cmcm. Its calculated volume is 28.0 A^3/atom. The total DFT energy (no corrections) comes out at -43.8 eV for the cell shown.

=====

(5)
Below is a relaxed structure of KPrAuSe3, with properties calculated at the GGA-PBE level.

Cell lengths 7.9553, 7.9553, 11.0478 Å; angles 90.00, 90.00, 149.18 degrees
Positions (direct):
K (0.2457, 0.7543, 0.7500)
K (0.7543, 0.2457, 0.2500)
Pr (0.0000, 0.0000, 0.0000)
Pr (0.0000, 0.0000, 0.5000)
Au (0.4720, 0.5280, 0.2500)
Au (0.5280, 0.4720, 0.7500)
Se (0.0796, 0.9204, 0.2500)
Se (0.3685, 0.6315, 0.0636)
Se (0.3685, 0.6315, 0.4364)
Se (0.6315, 0.3685, 0.5636)
Se (0.6315, 0.3685, 0.9364)
Se (0.9204, 0.0796, 0.7500)

The total moment is 0.033 μB/atom. As for the symmetry: Cmcm. Its calculated volume is 29.9 A^3/atom. The total DFT energy (no corrections) comes out at -52.4 eV for the cell shown.

=====

(6)
Below is a relaxed structure of KPtAu3S4, with properties calculated at the GGA-PBE level.

Cell lengths 6.2080, 6.2080, 6.2080 Å; angles 90.00, 90.00, 90.00 degrees
Positions (direct):
K (0.0000, 0.0000, 0.0000)
Pt (0.5000, 0.5000, 0.5000)
Au (0.0000, 0.5000, 0.5000)
Au (0.5000, 0.0000, 0.5000)
Au (0.5000, 0.5000, 0.0000)
S (0.2815, 0.2815, 0.2815)
S (0.2815, 0.7185, 0.7185)
S (0.7185, 0.2815, 0.7185)
S (0.7185, 0.7185, 0.2815)

The total moment is 0.002 μB/atom. As for the symmetry: P-43m. Its calculated volume is 26.6 A^3/atom. The total DFT energy (no corrections) comes out at -32.8 eV for the cell shown.

=====

(7)
Below is a relaxed structure of KPtAuSeS2, with properties calculated at the GGA-PBE level.

Cell lengths 8.2106, 8.2106, 10.2695 Å; angles 90.00, 90.00, 154.45 degrees
Positions (direct):
K (0.2191, 0.7809, 0.7500)
K (0.7809, 0.2191, 0.2500)
Pt (0.5000, 0.5000, 0.0000)
Pt (0.5000, 0.5000, 0.5000)
Au (0.1085, 0.8915, 0.2500)
Au (0.8915, 0.1085, 0.7500)
Se (0.4505, 0.5495, 0.2500)
Se (0.5495, 0.4505, 0.7500)
S (0.0984, 0.9016, 0.0235)
S (0.0984, 0.9016, 0.4765)
S (0.9016, 0.0984, 0.5235)
S (0.9016, 0.0984, 0.9765)

The total moment is 0.001 μB/atom. As for the symmetry: Cmcm. Its calculated volume is 24.9 A^3/atom. The total DFT energy (no corrections) comes out at -49.0 eV for the cell shown.

=====

(8)
Below is a relaxed structure of KPtAuSe2S, with properties calculated at the GGA-PBE level.

Cell lengths 8.0821, 8.0821, 10.2149 Å; angles 90.00, 90.00, 152.48 degrees
Positions (direct):
K (0.2151, 0.7849, 0.7500)
K (0.7849, 0.2151, 0.2500)
Pt (0.5000, 0.5000, 0.0000)
Pt (0.5000, 0.5000, 0.5000)
Au (0.1113, 0.8887, 0.2500)
Au (0.8887, 0.1113, 0.7500)
Se (0.1047, 0.8953, 0.0132)
Se (0.1047, 0.8953, 0.4868)
Se (0.8953, 0.1047, 0.5132)
Se (0.8953, 0.1047, 0.9868)
S (0.4578, 0.5422, 0.2500)
S (0.5422, 0.4578, 0.7500)

The total moment is 0.042 μB/atom. As for the symmetry: Cmcm. Its calculated volume is 25.7 A^3/atom. The total DFT energy (no corrections) comes out at -47.0 eV for the cell shown.